Entry 1:
Density functional theory data (GGA-PBE) for an optimized crystal structure of SnTeMo2Rh.

Output
E_tot   -5.234 eV/atom
Uncorrected formation energy   2.00 eV/atom

a = 4.898 Å, b = 4.898 Å, c = 5.524 Å
α = 90.00°, β = 90.00°, γ = 90.00°
Space group P4/mmm (No. 123)
Unique sites:
Sn  0.000  0.000  0.000 (multiplicity 1)
Te  0.000  0.000  0.500 (multiplicity 1)
Mo  0.000  0.500  0.500 (multiplicity 2)
Rh  0.500  0.500  0.000 (multiplicity 1)

***

Entry 2:
Density functional theory data (GGA-PBE) for an optimized crystal structure of BeNbSbPIr.

Output
E_tot   -6.713 eV/atom
Uncorrected formation energy   -0.28 eV/atom
E above lowest polymorph   118 meV/atom

a = 8.497 Å, b = 3.716 Å, c = 6.060 Å
α = 90.00°, β = 122.05°, γ = 90.00°
Space group Cm (No. 8)
Unique sites:
Be  0.000  0.000  0.000 (multiplicity 2)
Nb  0.123  0.500  0.806 (multiplicity 2)
Sb  0.367  0.500  0.396 (multiplicity 2)
P  0.307  0.000  0.757 (multiplicity 2)
Ir  0.008  0.500  0.212 (multiplicity 2)

***

Entry 3:
Density functional theory data (GGA-PBE) for an optimized crystal structure of NdYPt2.

Output
E_tot   -6.900 eV/atom
E above lowest polymorph   125 meV/atom
ΔE_f   -1.072 eV/atom

a = 4.1373 Å, b = 4.1373 Å, c = 20.3035 Å
α = 90.00°, β = 90.00°, γ = 120.00°
Space group R-3m (No. 166, hexagonal axes)
Unique sites:
Nd  0.0000  0.0000  0.0000 (multiplicity 3)
Y  0.0000  0.0000  0.5000 (multiplicity 3)
Pt  0.0000  0.0000  0.2467 (multiplicity 6)

***

Entry 4:
Density functional theory data (GGA-PBE) for an optimized crystal structure of BaVSn2.

Output
E_tot   -4.683 eV/atom
E above lowest polymorph   0 meV/atom
ΔE_f   0.078 eV/atom

a = 5.846 Å, b = 5.846 Å, c = 17.602 Å
α = 90.00°, β = 90.00°, γ = 90.00°
Space group I-42d (No. 122)
Unique sites:
Ba  0.000  0.000  0.000 (multiplicity 4)
V  0.000  0.000  0.500 (multiplicity 4)
Sn  0.033  0.250  0.625 (multiplicity 8)

***

Entry 5:
Density functional theory data (GGA-PBE) for an optimized crystal structure of Os2PtSe.

Output
E_tot   -7.183 eV/atom
Uncorrected formation energy   0.81 eV/atom

a = 2.760 Å, b = 4.771 Å, c = 9.539 Å
α = 90.00°, β = 90.00°, γ = 90.00°
Space group Cmmm (No. 65)
Unique sites:
Os  0.000  0.000  0.249 (multiplicity 4)
Pt  0.000  0.500  0.000 (multiplicity 2)
Se  0.000  0.500  0.500 (multiplicity 2)

***

Entry 6:
Density functional theory data (GGA-PBE) for an optimized crystal structure of CdPbC3.

Output
E_tot   -3.416 eV/atom
E above lowest polymorph   0 meV/atom
ΔE_f   3.043 eV/atom

a = 4.411 Å, b = 4.411 Å, c = 4.411 Å
α = 90.00°, β = 90.00°, γ = 90.00°
Space group Pm-3m (No. 221)
Unique sites:
Cd  0.000  0.000  0.000 (multiplicity 1)
Pb  0.500  0.500  0.500 (multiplicity 1)
C  0.000  0.000  0.500 (multiplicity 3)